[1]
Here is crystalline AlCuRh3 at its relaxed geometry from Alexandria via LeMat-Bulk. Energies are from GGA-PBE.

Lattice parameters (Å, degrees): 4.460 4.460 4.460 90.00 90.00 90.00
Element x y z (fractional)
1 Al 0.000 0.000 0.000
2 Cu 0.500 0.500 0.500
3 Rh 0.000 0.500 0.500
4 Rh 0.500 0.000 0.500
5 Rh 0.500 0.500 0.000

Results
* VASP energy: -5.05 eV per atom
* calculated formation energy: 0.929 eV per atom
* theoretical density: 7473 kg/m3

***

[2]
Here is crystalline Sm3Dy2Y2 at its relaxed geometry from Alexandria via LeMat-Bulk. Energies are from GGA-PBE.

Lattice parameters (Å, degrees): 6.211 6.211 10.772 95.62 95.62 33.56
Element x y z (fractional)
1 Sm 0.000 0.000 0.000
2 Sm 0.142 0.142 0.570
3 Sm 0.858 0.858 0.430
4 Dy 0.429 0.429 0.715
5 Dy 0.571 0.571 0.285
6 Y 0.285 0.285 0.143
7 Y 0.715 0.715 0.857

Results
* VASP energy: -5.17 eV per atom
* calculated formation energy: 0.016 eV per atom
* theoretical density: 6932 kg/m3